# Rb2TlGe2 GGA-PBE relaxed
data_Rb2TlGe2
_cell_length_a 5.8977
_cell_length_b 5.0847
_cell_length_c 7.0536
_cell_angle_alpha 68.87
_cell_angle_beta 65.29
_cell_angle_gamma 90.00
_space_group_name_H-M_alt 'P 1'
_space_group_IT_number 1
loop_
_space_group_symop_operation_xyz
'x,y,z'
loop_
_atom_site_label
_atom_site_type_symbol
_atom_site_fract_x
_atom_site_fract_y
_atom_site_fract_z
Ge1 Ge 0.7163 0.5000 0.0000
Ge2 Ge 0.2837 0.5000 0.0000
Rb1 Rb 0.7072 0.2073 0.5855
Rb2 Rb 0.2928 0.7927 0.4145
Tl1 Tl 0.0000 0.0000 0.0000
# - Energy: -13.3 eV/cell
# - Distance to the lowest polymorph of the same formula: 56 meV/atom
# - ΔE_f: 0.0378 eV/atom

# Rb2TlGe GGA-PBE relaxed
data_Rb2TlGe
_cell_length_a 5.0772
_cell_length_b 5.0772
_cell_length_c 12.9734
_cell_angle_alpha 78.72
_cell_angle_beta 78.72
_cell_angle_gamma 90.00
_space_group_name_H-M_alt 'P 1'
_space_group_IT_number 1
loop_
_space_group_symop_operation_xyz
'x,y,z'
loop_
_atom_site_label
_atom_site_type_symbol
_atom_site_fract_x
_atom_site_fract_y
_atom_site_fract_z
Rb1 Rb 0.6205 0.1250 0.2500
Rb2 Rb 0.1295 0.6250 0.2500
Rb3 Rb 0.8750 0.8705 0.7500
Rb4 Rb 0.3750 0.3795 0.7500
Ge1 Ge 0.5000 0.5000 0.0000
Ge2 Ge 0.2500 0.7500 0.5000
Tl1 Tl 0.0000 0.0000 0.0000
Tl2 Tl 0.7500 0.2500 0.5000
# - Energy: -14.6 eV/cell
# - Distance to the lowest polymorph of the same formula: 169 meV/atom
# - ΔE_f: 0.4010 eV/atom

# RbTlGe2 GGA-PBE relaxed
data_RbTlGe2
_cell_length_a 5.3879
_cell_length_b 5.3879
_cell_length_c 5.3879
_cell_angle_alpha 60.00
_cell_angle_beta 60.00
_cell_angle_gamma 60.00
_space_group_name_H-M_alt 'P 1'
_space_group_IT_number 1
loop_
_space_group_symop_operation_xyz
'x,y,z'
loop_
_atom_site_label
_atom_site_type_symbol
_atom_site_fract_x
_atom_site_fract_y
_atom_site_fract_z
Ge1 Ge 0.2500 0.2500 0.2500
Ge2 Ge 0.7500 0.7500 0.7500
Rb1 Rb 0.0000 0.0000 0.0000
Tl1 Tl 0.5000 0.5000 0.5000
# - Energy: -11.0 eV/cell
# - Distance to the lowest polymorph of the same formula: 190 meV/atom
# - ΔE_f: 0.3880 eV/atom

# RbTl2Ge2 GGA-PBE relaxed
data_RbTl2Ge2
_cell_length_a 5.0236
_cell_length_b 5.0236
_cell_length_c 6.9974
_cell_angle_alpha 68.96
_cell_angle_beta 68.96
_cell_angle_gamma 90.00
_space_group_name_H-M_alt 'P 1'
_space_group_IT_number 1
loop_
_space_group_symop_operation_xyz
'x,y,z'
loop_
_atom_site_label
_atom_site_type_symbol
_atom_site_fract_x
_atom_site_fract_y
_atom_site_fract_z
Ge1 Ge 0.7500 0.2500 0.5000
Ge2 Ge 0.2500 0.7500 0.5000
Tl1 Tl 0.3732 0.3732 0.2535
Tl2 Tl 0.6268 0.6268 0.7465
Rb1 Rb 0.0000 0.0000 0.0000
# - Energy: -14.5 eV/cell
# - Distance to the lowest polymorph of the same formula: 82 meV/atom
# - ΔE_f: 0.0872 eV/atom

# Rb2TlGe2 GGA-PBE relaxed
data_Rb2TlGe2
_cell_length_a 5.5380
_cell_length_b 5.5380
_cell_length_c 7.7592
_cell_angle_alpha 69.09
_cell_angle_beta 69.09
_cell_angle_gamma 90.00
_space_group_name_H-M_alt 'P 1'
_space_group_IT_number 1
loop_
_space_group_symop_operation_xyz
'x,y,z'
loop_
_atom_site_label
_atom_site_type_symbol
_atom_site_fract_x
_atom_site_fract_y
_atom_site_fract_z
Tl1 Tl 0.0000 0.0000 0.0000
Rb1 Rb 0.2500 0.7500 0.5000
Rb2 Rb 0.7500 0.2500 0.5000
Ge1 Ge 0.5843 0.5843 0.8314
Ge2 Ge 0.4157 0.4157 0.1686
# - Energy: -12.8 eV/cell
# - Distance to the lowest polymorph of the same formula: 175 meV/atom
# - ΔE_f: 0.1564 eV/atom

# RbTl2Ge2 GGA-PBE relaxed
data_RbTl2Ge2
_cell_length_a 9.2337
_cell_length_b 9.2337
_cell_length_c 3.5064
_cell_angle_alpha 90.00
_cell_angle_beta 90.00
_cell_angle_gamma 90.00
_space_group_name_H-M_alt 'P 1'
_space_group_IT_number 1
loop_
_space_group_symop_operation_xyz
'x,y,z'
loop_
_atom_site_label
_atom_site_type_symbol
_atom_site_fract_x
_atom_site_fract_y
_atom_site_fract_z
Tl1 Tl 0.3336 0.1664 0.5000
Tl2 Tl 0.1664 0.6664 0.5000
Tl3 Tl 0.8336 0.3336 0.5000
Tl4 Tl 0.6664 0.8336 0.5000
Ge1 Ge 0.3929 0.8929 0.0000
Ge2 Ge 0.1071 0.3929 0.0000
Ge3 Ge 0.6071 0.1071 0.0000
Ge4 Ge 0.8929 0.6071 0.0000
Rb1 Rb 0.0000 0.0000 0.0000
Rb2 Rb 0.5000 0.5000 0.0000
# - Energy: -28.5 eV/cell
# - Distance to the lowest polymorph of the same formula: 129 meV/atom
# - ΔE_f: 0.1342 eV/atom

# RbTl2Ge2 GGA-PBE relaxed
data_RbTl2Ge2
_cell_length_a 5.2893
_cell_length_b 5.2893
_cell_length_c 6.5671
_cell_angle_alpha 66.25
_cell_angle_beta 66.25
_cell_angle_gamma 90.00
_space_group_name_H-M_alt 'P 1'
_space_group_IT_number 1
loop_
_space_group_symop_operation_xyz
'x,y,z'
loop_
_atom_site_label
_atom_site_type_symbol
_atom_site_fract_x
_atom_site_fract_y
_atom_site_fract_z
Ge1 Ge 0.3830 0.3830 0.2341
Ge2 Ge 0.6170 0.6170 0.7659
Rb1 Rb 0.0000 0.0000 0.0000
Tl1 Tl 0.7500 0.2500 0.5000
Tl2 Tl 0.2500 0.7500 0.5000
# - Energy: -14.9 eV/cell
# - Distance to the lowest polymorph of the same formula: 0 meV/atom
# - ΔE_f: 0.0055 eV/atom

# RbTlGe3 GGA-PBE relaxed
data_RbTlGe3
_cell_length_a 5.7892
_cell_length_b 5.7892
_cell_length_c 5.7892
_cell_angle_alpha 90.00
_cell_angle_beta 90.00
_cell_angle_gamma 90.00
_space_group_name_H-M_alt 'P 1'
_space_group_IT_number 1
loop_
_space_group_symop_operation_xyz
'x,y,z'
loop_
_atom_site_label
_atom_site_type_symbol
_atom_site_fract_x
_atom_site_fract_y
_atom_site_fract_z
Ge1 Ge 0.0000 0.5000 0.0000
Ge2 Ge 0.0000 0.0000 0.5000
Ge3 Ge 0.5000 0.0000 0.0000
Rb1 Rb 0.0000 0.0000 0.0000
Tl1 Tl 0.5000 0.5000 0.5000
# - Energy: -10.0 eV/cell
# - Distance to the lowest polymorph of the same formula: 802 meV/atom
# - ΔE_f: 1.4422 eV/atom

# Rb2TlGe2 GGA-PBE relaxed
data_Rb2TlGe2
_cell_length_a 8.3020
_cell_length_b 8.3020
_cell_length_c 5.4710
_cell_angle_alpha 90.00
_cell_angle_beta 90.00
_cell_angle_gamma 90.00
_space_group_name_H-M_alt 'P 1'
_space_group_IT_number 1
loop_
_space_group_symop_operation_xyz
'x,y,z'
loop_
_atom_site_label
_atom_site_type_symbol
_atom_site_fract_x
_atom_site_fract_y
_atom_site_fract_z
Rb1 Rb 0.8039 0.3039 0.5000
Rb2 Rb 0.1961 0.6961 0.5000
Rb3 Rb 0.6961 0.8039 0.5000
Rb4 Rb 0.3039 0.1961 0.5000
Ge1 Ge 0.4008 0.9008 0.0000
Ge2 Ge 0.0992 0.4008 0.0000
Ge3 Ge 0.5992 0.0992 0.0000
Ge4 Ge 0.9008 0.5992 0.0000
Tl1 Tl 0.5000 0.5000 0.0000
Tl2 Tl 0.0000 0.0000 0.0000
# - Energy: -26.6 eV/cell
# - Distance to the lowest polymorph of the same formula: 63 meV/atom
# - ΔE_f: 0.0441 eV/atom

# Rb5Tl2Ge4 GGA-PBE relaxed
data_Rb5Tl2Ge4
_cell_length_a 7.9752
_cell_length_b 8.5296
_cell_length_c 9.8545
_cell_angle_alpha 50.62
_cell_angle_beta 66.13
_cell_angle_gamma 62.13
_space_group_name_H-M_alt 'P 1'
_space_group_IT_number 1
loop_
_space_group_symop_operation_xyz
'x,y,z'
loop_
_atom_site_label
_atom_site_type_symbol
_atom_site_fract_x
_atom_site_fract_y
_atom_site_fract_z
Rb1 Rb 0.8380 0.6870 0.0954
Rb2 Rb 0.0000 0.5000 0.5000
Rb3 Rb 0.1620 0.3130 0.9046
Rb4 Rb 0.6204 0.3130 0.9046
Rb5 Rb 0.3796 0.6870 0.0954
Ge1 Ge 0.7558 0.7596 0.7287
Ge2 Ge 0.3856 0.8936 0.3351
Ge3 Ge 0.2442 0.2404 0.2713
Ge4 Ge 0.6144 0.1064 0.6649
Tl1 Tl 0.2139 0.9074 0.6647
Tl2 Tl 0.7861 0.0926 0.3352
# - Energy: -27.1 eV/cell
# - ΔE_f: 0.0863 eV/atom

# Rb2Tl2Ge3 GGA-PBE relaxed
data_Rb2Tl2Ge3
_cell_length_a 5.0785
_cell_length_b 6.8952
_cell_length_c 7.4775
_cell_angle_alpha 116.47
_cell_angle_beta 90.00
_cell_angle_gamma 111.61
_space_group_name_H-M_alt 'P 1'
_space_group_IT_number 1
loop_
_space_group_symop_operation_xyz
'x,y,z'
loop_
_atom_site_label
_atom_site_type_symbol
_atom_site_fract_x
_atom_site_fract_y
_atom_site_fract_z
Tl1 Tl 0.1547 0.3094 0.2820
Tl2 Tl 0.8453 0.6906 0.7180
Rb1 Rb 0.1577 0.3153 0.7922
Rb2 Rb 0.8423 0.6847 0.2078
Ge1 Ge 0.4295 0.8591 0.5939
Ge2 Ge 0.5000 0.0000 0.0000
Ge3 Ge 0.5705 0.1409 0.4061
# - Energy: -20.3 eV/cell
# - ΔE_f: 0.0375 eV/atom

# Rb2TlGe GGA-PBE relaxed
data_Rb2TlGe
_cell_length_a 6.0822
_cell_length_b 6.0822
_cell_length_c 6.0822
_cell_angle_alpha 60.00
_cell_angle_beta 60.00
_cell_angle_gamma 60.00
_space_group_name_H-M_alt 'P 1'
_space_group_IT_number 1
loop_
_space_group_symop_operation_xyz
'x,y,z'
loop_
_atom_site_label
_atom_site_type_symbol
_atom_site_fract_x
_atom_site_fract_y
_atom_site_fract_z
Rb1 Rb 0.7500 0.7500 0.7500
Rb2 Rb 0.2500 0.2500 0.2500
Tl1 Tl 0.5000 0.5000 0.5000
Ge1 Ge 0.0000 0.0000 0.0000
# - Energy: -8.0 eV/cell
# - Distance to the lowest polymorph of the same formula: 0 meV/atom
# - ΔE_f: 0.2322 eV/atom